Here is an optimized crystal structure of LaNb2Pd2 from the Alexandria database. Energies are from GGA-PBE.

Lattice parameters (Å, degrees): 3.8919 3.8919 7.4631 74.89 74.89 90.00
With the nearest neighbours (Å) after each atom.
Fractional coordinates of all 5 atoms:
1 Pd 0.3993 0.3993 0.2015  1 Pd 2.80, 4 Nb 2.84, 4 La 3.09
2 Pd 0.6007 0.6007 0.7985  1 Pd 2.80, 4 Nb 2.84, 4 La 3.09
3 Nb 0.7500 0.2500 0.5000  4 Nb 2.75, 4 Pd 2.84
4 Nb 0.2500 0.7500 0.5000  4 Nb 2.75, 4 Pd 2.84
5 La 0.0000 0.0000 0.0000  8 Pd 3.09

The space-group type is I4/mmm (139). The total magnetization is 0.0 μB per formula unit. The value obtained for the density of states at the Fermi level is 1.10 states/eV per atom. The crystal system is tetragonal. The formation energy from the elements comes out at -0.241 eV/atom.

Here is an optimized crystal structure of CsRb2CdAs from the Alexandria database. Energies are from GGA-PBE.

Lattice parameters (Å, degrees): 6.8233 6.8233 7.0911 90.00 90.00 90.00
With the nearest neighbours (Å) after each atom.
Fractional coordinates of all 5 atoms:
1 Cd 0.5000 0.5000 0.5000  4 Cs 4.82, 8 Rb 4.92
2 Rb 0.0000 0.5000 0.0000  2 As 3.41
3 Rb 0.5000 0.0000 0.0000  2 As 3.41
4 As 0.0000 0.0000 0.0000  4 Rb 3.41, 2 Cs 3.55
5 Cs 0.0000 0.0000 0.5000  2 As 3.55

The space-group type is P4/mmm (123). The total magnetization is 0.1 μB per formula unit. The value obtained for the density of states at the Fermi level is 0.68 states/eV per atom. The crystal system is tetragonal. The formation energy from the elements comes out at -0.049 eV/atom.

Here is an optimized crystal structure of Sm12In6Ag from the Alexandria database. Energies are from GGA-PBE.

Lattice parameters (Å, degrees): 8.2055 8.2055 8.2055 89.13 89.13 89.13
With the nearest neighbours (Å) after each atom.
Fractional coordinates of all 19 atoms:
1 Sm 0.5252 0.4345 0.8101  4 In 3.31-3.46, 4 Sm 3.33-3.48
2 Sm 0.3747 0.0612 0.1237  3 Sm 3.04-3.31, 1 In 3.28, 1 Ag 3.30
3 Sm 0.5655 0.1899 0.4748  4 In 3.31-3.46, 4 Sm 3.33-3.48
4 Sm 0.9388 0.8763 0.6253  3 Sm 3.04-3.31, 1 In 3.28, 1 Ag 3.30
5 Sm 0.8763 0.6253 0.9388  3 Sm 3.04-3.31, 1 In 3.28, 1 Ag 3.30
6 Sm 0.0612 0.1237 0.3747  3 Sm 3.04-3.31, 1 In 3.28, 1 Ag 3.30
7 Sm 0.8101 0.5252 0.4345  4 In 3.31-3.46, 4 Sm 3.33-3.48
8 Sm 0.6253 0.9388 0.8763  3 Sm 3.04-3.31, 1 In 3.28, 1 Ag 3.30
9 Sm 0.1237 0.3747 0.0612  3 Sm 3.04-3.31, 1 In 3.28, 1 Ag 3.30
10 Sm 0.4345 0.8101 0.5252  4 In 3.31-3.46, 4 Sm 3.33-3.48
11 Sm 0.4748 0.5655 0.1899  4 In 3.31-3.46, 4 Sm 3.33-3.48
12 Sm 0.1899 0.4748 0.5655  4 In 3.31-3.46, 4 Sm 3.33-3.48
13 In 0.1166 0.7441 0.2624  1 Ag 3.13, 8 Sm 3.28-3.49, 2 In 3.30
14 In 0.2559 0.7376 0.8834  1 Ag 3.13, 8 Sm 3.28-3.49, 2 In 3.30
15 In 0.7376 0.8834 0.2559  1 Ag 3.13, 8 Sm 3.28-3.49, 2 In 3.30
16 In 0.2624 0.1166 0.7441  1 Ag 3.13, 8 Sm 3.28-3.49, 2 In 3.30
17 In 0.7441 0.2624 0.1166  1 Ag 3.13, 8 Sm 3.28-3.49, 2 In 3.30
18 In 0.8834 0.2559 0.7376  1 Ag 3.13, 8 Sm 3.28-3.49, 2 In 3.30
19 Ag 0.0000 0.0000 0.0000  6 In 3.13, 6 Sm 3.30

The space-group type is R-3 (148). The total magnetization is 0.0 μB per formula unit. The value obtained for the density of states at the Fermi level is 1.08 states/eV per atom. The crystal system is trigonal. The formation energy from the elements comes out at -0.231 eV/atom.

Here is an optimized crystal structure of SbPW from the Alexandria database. Energies are from GGA-PBE.

Lattice parameters (Å, degrees): 4.4655 4.4655 4.4655 60.00 60.00 60.00
With the nearest neighbours (Å) after each atom.
Fractional coordinates of all 3 atoms:
1 Sb 0.5000 0.5000 0.5000  4 W 2.73
2 W 0.2500 0.2500 0.2500  4 Sb 2.73, 4 P 2.73
3 P 0.0000 0.0000 0.0000  4 W 2.73

The space-group type is F-43m (216). The total magnetization is 1.3 μB per formula unit. Its uncorrected formation energy is 0.646 eV per atom. The value obtained for the density of states at the Fermi level is 0.75 states/eV per atom. The crystal system is cubic.